Here is a crystal of OsPtRh2 relaxed with PBEsol from Alexandria. Energies are from meta-GGA SCAN.

Values from the calculation:
**Energy above the lowest structure with this stoichiometry**: 97.1 meV/atom
**ΔH_f (0 K)**: 0.0519 eV/atom
**Spin magnetization**: 0.000 μB/atom

Cell and atoms, written as CIF:
```
data_OsPtRh2
_chemical_formula_sum 'Os3 Pt3 Rh6'
_cell_length_a 2.7001
_cell_length_b 2.7001
_cell_length_c 26.5162
_cell_angle_alpha 90.00
_cell_angle_beta 90.00
_cell_angle_gamma 120.00
_space_group_name_H-M_alt 'R 3 m'
_space_group_IT_number 160
_space_group_name_Hall 'R 3 -2"'
loop_
_atom_site_label
_atom_site_type_symbol
_atom_site_fract_x
_atom_site_fract_y
_atom_site_fract_z
Os1 Os 0.0000 0.0000 0.0000
Pt1 Pt 0.0000 0.0000 0.2484
Rh1 Rh 0.0000 0.0000 0.4962
Rh2 Rh 0.0000 0.0000 0.7467
```

Here is a crystal of OsPt2Rh relaxed with PBEsol from Alexandria. Energies are from meta-GGA SCAN.

Values from the calculation:
**Energy above the lowest structure with this stoichiometry**: 82.5 meV/atom
**ΔH_f (0 K)**: 0.0741 eV/atom
**Spin magnetization**: 0.000 μB/atom

Cell and atoms, written as CIF:
```
data_OsPt2Rh
_chemical_formula_sum 'Os1 Pt2 Rh1'
_cell_length_a 2.722
_cell_length_b 2.722
_cell_length_c 7.714
_cell_angle_alpha 90.00
_cell_angle_beta 90.00
_cell_angle_gamma 90.00
_space_group_name_H-M_alt 'P 4/m m m'
_space_group_IT_number 123
_space_group_name_Hall '-P 4 2'
loop_
_atom_site_label
_atom_site_type_symbol
_atom_site_fract_x
_atom_site_fract_y
_atom_site_fract_z
Os1 Os 0.000 0.000 0.000
Pt1 Pt 0.500 0.500 0.246
Rh1 Rh 0.000 0.000 0.500
```

Here is a crystal of OsPt2Rh relaxed with PBEsol from Alexandria. Energies are from meta-GGA SCAN.

Values from the calculation:
**Energy above the lowest structure with this stoichiometry**: 92.5 meV/atom
**ΔH_f (0 K)**: 0.0841 eV/atom
**Spin magnetization**: 0.000 μB/atom

Cell and atoms, written as CIF:
```
data_OsPt2Rh
_chemical_formula_sum 'Os2 Pt4 Rh2'
_cell_length_a 8.998
_cell_length_b 2.720
_cell_length_c 4.737
_cell_angle_alpha 90.00
_cell_angle_beta 99.84
_cell_angle_gamma 90.00
_space_group_name_H-M_alt 'C 1 2/m 1'
_space_group_IT_number 12
loop_
_space_group_symop_operation_xyz
'x,y,z'
'-x,-y,-z'
'-x,y,-z'
'x,-y,z'
'x+1/2,y+1/2,z'
'-x+1/2,-y+1/2,-z'
'-x+1/2,y+1/2,-z'
'x+1/2,-y+1/2,z'
loop_
_atom_site_label
_atom_site_type_symbol
_atom_site_fract_x
_atom_site_fract_y
_atom_site_fract_z
Os1 Os 0.000 0.000 0.000
Pt1 Pt 0.248 0.500 0.246
Rh1 Rh 0.000 0.500 0.500
```

Here is a crystal of OsPtRh2 relaxed with PBEsol from Alexandria. Energies are from meta-GGA SCAN.

Values from the calculation:
**Energy above the lowest structure with this stoichiometry**: 96.7 meV/atom
**ΔH_f (0 K)**: 0.0515 eV/atom
**Spin magnetization**: 0.000 μB/atom

Cell and atoms, written as CIF:
```
data_OsPtRh2
_chemical_formula_sum 'Os2 Pt2 Rh4'
_cell_length_a 3.800
_cell_length_b 3.800
_cell_length_c 7.693
_cell_angle_alpha 90.00
_cell_angle_beta 90.00
_cell_angle_gamma 90.00
_space_group_name_H-M_alt 'I -4 m 2'
_space_group_IT_number 119
_space_group_name_Hall 'I -4 -2'
loop_
_atom_site_label
_atom_site_type_symbol
_atom_site_fract_x
_atom_site_fract_y
_atom_site_fract_z
Os1 Os 0.000 0.000 0.000
Pt1 Pt 0.000 0.500 0.750
Rh1 Rh 0.000 0.000 0.500
Rh2 Rh 0.000 0.500 0.250
```

Here is a crystal of Os2PtRh relaxed with PBEsol from Alexandria. Energies are from meta-GGA SCAN.

Values from the calculation:
**Energy above the lowest structure with this stoichiometry**: 9.8 meV/atom
**ΔH_f (0 K)**: 0.0501 eV/atom
**Spin magnetization**: 0.000 μB/atom

Cell and atoms, written as CIF:
```
data_Os2PtRh
_chemical_formula_sum 'Os6 Pt3 Rh3'
_cell_length_a 2.7062
_cell_length_b 2.7062
_cell_length_c 26.6639
_cell_angle_alpha 90.00
_cell_angle_beta 90.00
_cell_angle_gamma 120.00
_space_group_name_H-M_alt 'R 3 m'
_space_group_IT_number 160
_space_group_name_Hall 'R 3 -2"'
loop_
_atom_site_label
_atom_site_type_symbol
_atom_site_fract_x
_atom_site_fract_y
_atom_site_fract_z
Os1 Os 0.0000 0.0000 0.0000
Os2 Os 0.0000 0.0000 0.2536
Pt1 Pt 0.0000 0.0000 0.7526
Rh1 Rh 0.0000 0.0000 0.5054
```

Here is a crystal of OsPtRh2 relaxed with PBEsol from Alexandria. Energies are from meta-GGA SCAN.

Values from the calculation:
**Energy above the lowest structure with this stoichiometry**: 20.8 meV/atom
**ΔH_f (0 K)**: -0.0243 eV/atom
**Spin magnetization**: 0.000 μB/atom

Cell and atoms, written as CIF:
```
data_OsPtRh2
_chemical_formula_sum 'Os3 Pt3 Rh6'
_cell_length_a 2.6973
_cell_length_b 2.6973
_cell_length_c 26.5884
_cell_angle_alpha 90.00
_cell_angle_beta 90.00
_cell_angle_gamma 120.00
_space_group_name_H-M_alt 'R -3 m'
_space_group_IT_number 166
_space_group_name_Hall '-R 3 2"'
loop_
_atom_site_label
_atom_site_type_symbol
_atom_site_fract_x
_atom_site_fract_y
_atom_site_fract_z
Os1 Os 0.0000 0.0000 0.0000
Pt1 Pt 0.0000 0.0000 0.5000
Rh1 Rh 0.0000 0.0000 0.2530
```

Here is a crystal of OsPtRh2 relaxed with PBEsol from Alexandria. Energies are from meta-GGA SCAN.

Values from the calculation:
**Energy above the lowest structure with this stoichiometry**: 72.2 meV/atom
**ΔH_f (0 K)**: 0.0271 eV/atom
**Spin magnetization**: 0.000 μB/atom

Cell and atoms, written as CIF:
```
data_OsPtRh2
_chemical_formula_sum 'Os2 Pt2 Rh4'
_cell_length_a 3.809
_cell_length_b 3.809
_cell_length_c 7.658
_cell_angle_alpha 90.00
_cell_angle_beta 90.00
_cell_angle_gamma 90.00
_space_group_name_H-M_alt 'I 4/m m m'
_space_group_IT_number 139
_space_group_name_Hall '-I 4 2'
loop_
_atom_site_label
_atom_site_type_symbol
_atom_site_fract_x
_atom_site_fract_y
_atom_site_fract_z
Os1 Os 0.000 0.000 0.000
Pt1 Pt 0.000 0.000 0.500
Rh1 Rh 0.000 0.500 0.250
```

Here is a crystal of OsPtRh2 relaxed with PBEsol from Alexandria. Energies are from meta-GGA SCAN.

Values from the calculation:
**Energy above the lowest structure with this stoichiometry**: 35.9 meV/atom
**ΔH_f (0 K)**: -0.0092 eV/atom
**Spin magnetization**: 0.000 μB/atom

Cell and atoms, written as CIF:
```
data_OsPtRh2
_chemical_formula_sum 'Os1 Pt1 Rh2'
_cell_length_a 2.695
_cell_length_b 3.808
_cell_length_c 5.423
_cell_angle_alpha 90.00
_cell_angle_beta 90.00
_cell_angle_gamma 90.00
_space_group_name_H-M_alt 'P m m m'
_space_group_IT_number 47
loop_
_space_group_symop_operation_xyz
'x,y,z'
'-x,-y,-z'
'-x,-y,z'
'x,y,-z'
'x,-y,-z'
'-x,y,z'
'-x,y,-z'
'x,-y,z'
loop_
_atom_site_label
_atom_site_type_symbol
_atom_site_fract_x
_atom_site_fract_y
_atom_site_fract_z
Os1 Os 0.000 0.000 0.000
Pt1 Pt 0.000 0.000 0.500
Rh1 Rh 0.500 0.500 0.240
```

Here is a crystal of OsPt2Rh relaxed with PBEsol from Alexandria. Energies are from meta-GGA SCAN.

Values from the calculation:
**Energy above the lowest structure with this stoichiometry**: 88.7 meV/atom
**ΔH_f (0 K)**: 0.0803 eV/atom
**Spin magnetization**: 0.000 μB/atom

Cell and atoms, written as CIF:
```
data_OsPt2Rh
_chemical_formula_sum 'Os1 Pt2 Rh1'
_cell_length_a 2.725
_cell_length_b 3.868
_cell_length_c 5.416
_cell_angle_alpha 90.00
_cell_angle_beta 90.00
_cell_angle_gamma 90.00
_space_group_name_H-M_alt 'P m m m'
_space_group_IT_number 47
loop_
_space_group_symop_operation_xyz
'x,y,z'
'-x,-y,-z'
'-x,-y,z'
'x,y,-z'
'x,-y,-z'
'-x,y,z'
'-x,y,-z'
'x,-y,z'
loop_
_atom_site_label
_atom_site_type_symbol
_atom_site_fract_x
_atom_site_fract_y
_atom_site_fract_z
Os1 Os 0.000 0.000 0.000
Pt1 Pt 0.500 0.500 0.246
Rh1 Rh 0.000 0.000 0.500
```

Here is a crystal of OsPtRh2 relaxed with PBEsol from Alexandria. Energies are from meta-GGA SCAN.

Values from the calculation:
**Energy above the lowest structure with this stoichiometry**: 0.0 meV/atom
**ΔH_f (0 K)**: -0.0451 eV/atom
**Spin magnetization**: 0.000 μB/atom

Cell and atoms, written as CIF:
```
data_OsPtRh2
_chemical_formula_sum 'Os1 Pt1 Rh2'
_cell_length_a 2.696
_cell_length_b 2.696
_cell_length_c 7.670
_cell_angle_alpha 90.00
_cell_angle_beta 90.00
_cell_angle_gamma 90.00
_space_group_name_H-M_alt 'P 4/m m m'
_space_group_IT_number 123
_space_group_name_Hall '-P 4 2'
loop_
_atom_site_label
_atom_site_type_symbol
_atom_site_fract_x
_atom_site_fract_y
_atom_site_fract_z
Os1 Os 0.000 0.000 0.000
Pt1 Pt 0.000 0.000 0.500
Rh1 Rh 0.500 0.500 0.240
```

Here is a crystal of OsPtRh relaxed with PBEsol from Alexandria. Energies are from meta-GGA SCAN.

Values from the calculation:
**Energy above the lowest structure with this stoichiometry**: 27.1 meV/atom
**ΔH_f (0 K)**: 0.0375 eV/atom
**Spin magnetization**: 0.000 μB/atom

Cell and atoms, written as CIF:
```
data_OsPtRh
_chemical_formula_sum 'Os2 Pt2 Rh2'
_cell_length_a 2.704
_cell_length_b 3.840
_cell_length_c 8.111
_cell_angle_alpha 90.00
_cell_angle_beta 90.00
_cell_angle_gamma 90.00
_space_group_name_H-M_alt 'I m m 2'
_space_group_IT_number 44
loop_
_space_group_symop_operation_xyz
'x,y,z'
'-x,-y,z'
'-x,y,z'
'x,-y,z'
'x+1/2,y+1/2,z+1/2'
'-x+1/2,-y+1/2,z+1/2'
'-x+1/2,y+1/2,z+1/2'
'x+1/2,-y+1/2,z+1/2'
loop_
_atom_site_label
_atom_site_type_symbol
_atom_site_fract_x
_atom_site_fract_y
_atom_site_fract_z
Os1 Os 0.000 0.000 0.000
Pt1 Pt 0.000 0.000 0.668
Rh1 Rh 0.000 0.000 0.341
```

Here is a crystal of OsRu2Pt relaxed with PBEsol from Alexandria. Energies are from meta-GGA SCAN.

Values from the calculation:
**Energy above the lowest structure with this stoichiometry**: 0.0 meV/atom
**ΔH_f (0 K)**: 0.0259 eV/atom
**Spin magnetization**: 0.000 μB/atom

Cell and atoms, written as CIF:
```
data_OsRu2Pt
_chemical_formula_sum 'Os1 Ru2 Pt1'
_cell_length_a 2.687
_cell_length_b 2.687
_cell_length_c 7.683
_cell_angle_alpha 90.00
_cell_angle_beta 90.00
_cell_angle_gamma 90.00
_space_group_name_H-M_alt 'P 4/m m m'
_space_group_IT_number 123
_space_group_name_Hall '-P 4 2'
loop_
_atom_site_label
_atom_site_type_symbol
_atom_site_fract_x
_atom_site_fract_y
_atom_site_fract_z
Os1 Os 0.000 0.000 0.000
Ru1 Ru 0.500 0.500 0.242
Pt1 Pt 0.000 0.000 0.500
```

Here is a crystal of OsRu2Pt relaxed with PBEsol from Alexandria. Energies are from meta-GGA SCAN.

Values from the calculation:
**Energy above the lowest structure with this stoichiometry**: 26.3 meV/atom
**ΔH_f (0 K)**: 0.0522 eV/atom
**Spin magnetization**: 0.000 μB/atom

Cell and atoms, written as CIF:
```
data_OsRu2Pt
_chemical_formula_sum 'Os3 Ru6 Pt3'
_cell_length_a 2.6942
_cell_length_b 2.6942
_cell_length_c 26.5413
_cell_angle_alpha 90.00
_cell_angle_beta 90.00
_cell_angle_gamma 120.00
_space_group_name_H-M_alt 'R -3 m'
_space_group_IT_number 166
_space_group_name_Hall '-R 3 2"'
loop_
_atom_site_label
_atom_site_type_symbol
_atom_site_fract_x
_atom_site_fract_y
_atom_site_fract_z
Os1 Os 0.0000 0.0000 0.0000
Ru1 Ru 0.0000 0.0000 0.2527
Pt1 Pt 0.0000 0.0000 0.5000
```

Here is a crystal of Os2RuPt relaxed with PBEsol from Alexandria. Energies are from meta-GGA SCAN.

Values from the calculation:
**ΔH_f (0 K)**: 0.1241 eV/atom
**Spin magnetization**: 0.000 μB/atom

Cell and atoms, written as CIF:
```
data_Os2RuPt
_chemical_formula_sum 'Os2 Ru1 Pt1'
_cell_length_a 3.809
_cell_length_b 3.809
_cell_length_c 3.850
_cell_angle_alpha 90.00
_cell_angle_beta 90.00
_cell_angle_gamma 90.00
_space_group_name_H-M_alt 'P 4/m m m'
_space_group_IT_number 123
_space_group_name_Hall '-P 4 2'
loop_
_atom_site_label
_atom_site_type_symbol
_atom_site_fract_x
_atom_site_fract_y
_atom_site_fract_z
Os1 Os 0.000 0.500 0.000
Ru1 Ru 0.000 0.000 0.500
Pt1 Pt 0.500 0.500 0.500
```

Here is a crystal of OsRu2Pt relaxed with PBEsol from Alexandria. Energies are from meta-GGA SCAN.

Values from the calculation:
**Energy above the lowest structure with this stoichiometry**: 12.3 meV/atom
**ΔH_f (0 K)**: 0.0382 eV/atom
**Spin magnetization**: 0.000 μB/atom

Cell and atoms, written as CIF:
```
data_OsRu2Pt
_chemical_formula_sum 'Os1 Ru2 Pt1'
_cell_length_a 2.691
_cell_length_b 3.803
_cell_length_c 5.418
_cell_angle_alpha 90.00
_cell_angle_beta 90.00
_cell_angle_gamma 90.00
_space_group_name_H-M_alt 'P m m m'
_space_group_IT_number 47
loop_
_space_group_symop_operation_xyz
'x,y,z'
'-x,-y,-z'
'-x,-y,z'
'x,y,-z'
'x,-y,-z'
'-x,y,z'
'-x,y,-z'
'x,-y,z'
loop_
_atom_site_label
_atom_site_type_symbol
_atom_site_fract_x
_atom_site_fract_y
_atom_site_fract_z
Os1 Os 0.000 0.000 0.000
Ru1 Ru 0.500 0.500 0.240
Pt1 Pt 0.000 0.000 0.500
```